Record 1
Entry from Alexandria via LeMat-Bulk: a geometry-optimized TlSnPb2Br structure (PBE-GGA).

Magnetic moment in Bohr magnetons per cell: 0.000
Formation energy from raw total energies in meV/atom: -81

```
data_TlSnPb2Br
_chemical_formula_sum 'Tl2 Sn2 Pb4 Br2'
_cell_length_a 10.978
_cell_length_b 5.458
_cell_length_c 5.945
_cell_angle_alpha 90.00
_cell_angle_beta 107.61
_cell_angle_gamma 90.00
_symmetry_space_group_name_H-M 'C 1 m 1'
_symmetry_Int_Tables_number 8
loop_
_symmetry_equiv_pos_as_xyz
'x,y,z'
'x,-y,z'
'x+1/2,y+1/2,z'
'x+1/2,-y+1/2,z'
loop_
_atom_site_label
_atom_site_type_symbol
_atom_site_fract_x
_atom_site_fract_y
_atom_site_fract_z
_atom_site_occupancy
Tl1 Tl 0.000 0.000 0.000 1
Sn1 Sn 0.310 0.000 0.156 1
Pb1 Pb 0.190 0.000 0.601 1
Pb2 Pb 0.375 0.500 0.433 1
Br1 Br 0.107 0.500 0.750 1
```


Record 2
Entry from Alexandria via LeMat-Bulk: a geometry-optimized LaRhSe2 structure (PBE-GGA).

Magnetic moment in Bohr magnetons per cell: 0.002
Formation energy from raw total energies in meV/atom: -492

```
data_LaRhSe2
_chemical_formula_sum 'La4 Rh4 Se8'
_cell_length_a 7.017
_cell_length_b 7.017
_cell_length_c 7.017
_cell_angle_alpha 90.00
_cell_angle_beta 90.00
_cell_angle_gamma 90.00
_symmetry_space_group_name_H-M 'F -4 3 m'
_symmetry_Int_Tables_number 216
_symmetry_space_group_name_Hall 'F -4 2 3'
loop_
_atom_site_label
_atom_site_type_symbol
_atom_site_fract_x
_atom_site_fract_y
_atom_site_fract_z
_atom_site_occupancy
La1 La 0.000 0.000 0.000 1
Rh1 Rh 0.250 0.250 0.250 1
Se1 Se 0.000 0.000 0.500 1
Se2 Se 0.250 0.250 0.750 1
```


Record 3
Entry from Alexandria via LeMat-Bulk: a geometry-optimized TaAlHg2 structure (PBE-GGA).

Magnetic moment in Bohr magnetons per cell: 0.000
Energy relative to the elements in eV/atom: 0.35

```
data_TaAlHg2
_chemical_formula_sum 'Ta1 Al1 Hg2'
_cell_length_a 2.960
_cell_length_b 5.115
_cell_length_c 5.235
_cell_angle_alpha 90.00
_cell_angle_beta 90.47
_cell_angle_gamma 90.00
_symmetry_space_group_name_H-M 'P 1 2/m 1'
_symmetry_Int_Tables_number 10
loop_
_symmetry_equiv_pos_as_xyz
'x,y,z'
'-x,-y,-z'
'-x,y,-z'
'x,-y,z'
loop_
_atom_site_label
_atom_site_type_symbol
_atom_site_fract_x
_atom_site_fract_y
_atom_site_fract_z
_atom_site_occupancy
Ta1 Ta 0.000 0.000 0.000 1
Al1 Al 0.500 0.000 0.500 1
Hg1 Hg 0.297 0.500 0.244 1
```